Tb4SmEr8 | Alexandria via LeMat-Bulk | PBE | optimized geometry; density of states at the Fermi level = 15.6 states/eV/f.u.; ΔE_f = 0.209 eV/atom
1.0
3.6343 2.0983 8.9471
-3.6343 2.0983 8.9471
0.0000 -4.1965 8.9471
Tb Sm Er
4 1 8
direct
0.0000 0.0000 0.0000
0.0000 0.5000 0.5000
0.5000 0.0000 0.5000
0.5000 0.5000 0.0000
0.5000 0.5000 0.5000
0.1923 0.7503 0.7503
0.2180 0.2180 0.2180
0.2497 0.2497 0.8077
0.2497 0.8077 0.2497
0.7503 0.1923 0.7503
0.7503 0.7503 0.1923
0.7820 0.7820 0.7820
0.8077 0.2497 0.2497


Tb2Sm5Er4 | Alexandria via LeMat-Bulk | PBE | optimized geometry; density of states at the Fermi level = 16.9 states/eV/f.u.; ΔE_f = 0.201 eV/atom
1.0
-1.7537 4.5302 11.6826
1.7537 -4.5302 11.6826
1.7537 4.5302 -11.6826
Tb Sm Er
2 5 4
direct
0.2310 0.2310 0.0000
0.7690 0.7690 0.0000
0.1550 0.3549 0.8001
0.4451 0.6451 0.8001
0.5000 0.0000 0.5000
0.5549 0.3549 0.1999
0.8450 0.6451 0.1999
0.0966 0.0966 0.0000
0.1869 0.5000 0.6869
0.8131 0.5000 0.3131
0.9034 0.9034 0.0000


TbSm3Er6 | Alexandria via LeMat-Bulk | PBE | optimized geometry; density of states at the Fermi level = 11.8 states/eV/f.u.; ΔE_f = 0.168 eV/atom
1.0
6.4851 0.0000 0.0000
-3.2226 5.6439 0.0000
-3.1833 -1.8260 8.7467
Tb Sm Er
1 3 6
direct
0.0000 0.0000 0.0000
0.0000 0.5000 0.5000
0.3000 0.9422 0.8095
0.7000 0.0578 0.1905
0.1269 0.6342 0.1869
0.3043 0.1511 0.4499
0.4485 0.5100 0.8131
0.5515 0.4900 0.1869
0.6957 0.8489 0.5501
0.8731 0.3658 0.8131